The following is a PBE calculation of crystalline PPb2Au at its relaxed geometry, from Alexandria via LeMat-Bulk.

It has space group C2/m (No. 12), with a = 7.2178 Å, b = 4.1788 Å, c = 7.3342 Å, α = 90.00°, β = 109.54° and γ = 90.00°. The distinct sites, in fractional coordinates, are P at (0.0000, 0.0000, 0.0000), Pb at (0.2450, 0.5000, 0.2330) and Au at (0.0000, 0.5000, 0.5000).

The calculation puts the total energy at -3.99 eV per atom. The energy relative to the elements is 37.8 meV/atom.